1.
Compound: InSiSe2S
Source: Alexandria
Functional: GGA-PBE
Structure: optimized geometry

CIF file:
```
data_InSiSe2S
_chemical_formula_sum 'In1 Si1 Se2 S1'
_space_group_name_H-M_alt 'P 1'
_space_group_IT_number 1
_space_group_name_Hall 'P 1'
_cell_length_a 4.974
_cell_length_b 4.826
_cell_length_c 4.974
_cell_angle_alpha 90.00
_cell_angle_beta 90.00
_cell_angle_gamma 90.00
loop_
_atom_site_label
_atom_site_fract_x
_atom_site_fract_y
_atom_site_fract_z
S1 0.000 0.000 0.000
Si1 0.000 0.500 0.000
Se1 0.000 0.000 0.500
Se2 0.500 0.000 0.000
In1 0.500 0.500 0.500
```

SG ... P4/mmm, No. 123
Formation energy from raw total energies ... 0.444 eV per atom
Total magnetic moment ... 0.0 μB/f.u.



2.
Compound: InSnSeS
Source: Alexandria
Functional: GGA-PBE
Structure: optimized geometry

CIF file:
```
data_InSnSeS
_chemical_formula_sum 'In1 Sn1 Se1 S1'
_space_group_name_H-M_alt 'P 1'
_space_group_IT_number 1
_space_group_name_Hall 'P 1'
_cell_length_a 4.063
_cell_length_b 4.035
_cell_length_c 7.607
_cell_angle_alpha 105.06
_cell_angle_beta 90.00
_cell_angle_gamma 120.23
loop_
_atom_site_label
_atom_site_fract_x
_atom_site_fract_y
_atom_site_fract_z
In1 0.114 0.229 0.589
Sn1 0.937 0.874 0.060
Se1 0.352 0.704 0.302
S1 0.526 0.053 0.826
```

SG ... Cm, No. 8
Formation energy from raw total energies ... -0.338 eV per atom
Total magnetic moment ... 0.0 μB/f.u.



3.
Compound: Tb6InSe2S3
Source: Alexandria
Functional: GGA-PBE
Structure: optimized geometry

CIF file:
```
data_Tb6InSe2S3
_chemical_formula_sum 'Tb6 In1 Se2 S3'
_space_group_name_H-M_alt 'P 1'
_space_group_IT_number 1
_space_group_name_Hall 'P 1'
_cell_length_a 3.971
_cell_length_b 8.307
_cell_length_c 9.118
_cell_angle_alpha 103.25
_cell_angle_beta 102.58
_cell_angle_gamma 90.00
loop_
_atom_site_label
_atom_site_fract_x
_atom_site_fract_y
_atom_site_fract_z
Tb1 0.328 0.928 0.656
Tb2 0.661 0.595 0.322
Tb3 0.672 0.072 0.344
Tb4 0.998 0.270 0.995
Tb5 0.002 0.730 0.005
Tb6 0.339 0.405 0.678
In1 0.500 0.000 0.000
Se1 0.830 0.662 0.660
Se2 0.170 0.338 0.340
S1 0.500 0.500 0.000
S2 0.832 0.169 0.665
S3 0.168 0.831 0.335
```

SG ... C2/m, No. 12
Formation energy from raw total energies ... -1.637 eV per atom
Total magnetic moment ... 0.0 μB/f.u.



4.
Compound: TlIn2SeS2
Source: Alexandria
Functional: GGA-PBE
Structure: optimized geometry

CIF file:
```
data_TlIn2SeS2
_chemical_formula_sum 'Tl2 In4 Se2 S4'
_space_group_name_H-M_alt 'P 1'
_space_group_IT_number 1
_space_group_name_Hall 'P 1'
_cell_length_a 7.191
_cell_length_b 8.510
_cell_length_c 7.052
_cell_angle_alpha 111.00
_cell_angle_beta 90.00
_cell_angle_gamma 90.00
loop_
_atom_site_label
_atom_site_fract_x
_atom_site_fract_y
_atom_site_fract_z
Tl1 0.750 0.302 0.757
Tl2 0.250 0.698 0.243
In1 0.477 0.148 0.180
In2 0.023 0.148 0.180
In3 0.977 0.852 0.820
In4 0.523 0.852 0.820
Se1 0.250 0.305 0.006
Se2 0.750 0.695 0.994
S1 0.250 0.089 0.415
S2 0.250 0.677 0.665
S3 0.750 0.911 0.585
S4 0.750 0.323 0.335
```

SG ... P2_1/m, No. 11
Formation energy from raw total energies ... -0.310 eV per atom
Total magnetic moment ... 0.0 μB/f.u.



5.
Compound: TmInSeS
Source: Alexandria
Functional: GGA-PBE
Structure: optimized geometry

CIF file:
```
data_TmInSeS
_chemical_formula_sum 'Tm1 In1 Se1 S1'
_space_group_name_H-M_alt 'P 1'
_space_group_IT_number 1
_space_group_name_Hall 'P 1'
_cell_length_a 4.013
_cell_length_b 4.013
_cell_length_c 8.128
_cell_angle_alpha 90.00
_cell_angle_beta 104.31
_cell_angle_gamma 120.01
loop_
_atom_site_label
_atom_site_fract_x
_atom_site_fract_y
_atom_site_fract_z
Tm1 0.296 0.546 0.857
In1 0.958 0.377 0.349
Se1 0.110 0.953 0.079
S1 0.514 0.155 0.684
```

SG ... R3m, No. 160
Formation energy from raw total energies ... -1.334 eV per atom
Total magnetic moment ... 0.0 μB/f.u.



6.
Compound: YInSeS
Source: Alexandria
Functional: GGA-PBE
Structure: optimized geometry

CIF file:
```
data_YInSeS
_chemical_formula_sum 'Y1 In1 Se1 S1'
_space_group_name_H-M_alt 'P 1'
_space_group_IT_number 1
_space_group_name_Hall 'P 1'
_cell_length_a 4.075
_cell_length_b 4.075
_cell_length_c 8.123
_cell_angle_alpha 90.03
_cell_angle_beta 104.52
_cell_angle_gamma 120.00
loop_
_atom_site_label
_atom_site_fract_x
_atom_site_fract_y
_atom_site_fract_z
Y1 0.296 0.546 0.857
In1 0.957 0.377 0.349
Se1 0.113 0.954 0.082
S1 0.512 0.154 0.681
```

SG ... R3m, No. 160
Formation energy from raw total energies ... -1.343 eV per atom
Total magnetic moment ... 0.0 μB/f.u.



7.
Compound: Y6InSe3S2
Source: Alexandria
Functional: GGA-PBE
Structure: optimized geometry

CIF file:
```
data_Y6InSe3S2
_chemical_formula_sum 'Y6 In1 Se3 S2'
_space_group_name_H-M_alt 'P 1'
_space_group_IT_number 1
_space_group_name_Hall 'P 1'
_cell_length_a 3.995
_cell_length_b 8.367
_cell_length_c 9.183
_cell_angle_alpha 103.61
_cell_angle_beta 102.56
_cell_angle_gamma 90.00
loop_
_atom_site_label
_atom_site_fract_x
_atom_site_fract_y
_atom_site_fract_z
Y1 0.330 0.899 0.660
Y2 0.672 0.572 0.343
Y3 0.670 0.101 0.340
Y4 0.006 0.263 0.011
Y5 0.994 0.737 0.989
Y6 0.328 0.428 0.657
In1 0.500 0.000 0.000
Se1 0.500 0.500 0.000
Se2 0.835 0.170 0.669
Se3 0.165 0.830 0.331
S1 0.831 0.662 0.661
S2 0.169 0.338 0.339
```

SG ... C2/m, No. 12
Formation energy from raw total energies ... -1.593 eV per atom
Total magnetic moment ... 0.0 μB/f.u.



8.
Compound: ZnInSeS
Source: Alexandria
Functional: GGA-PBE
Structure: optimized geometry

CIF file:
```
data_ZnInSeS
_chemical_formula_sum 'Zn1 In1 Se1 S1'
_space_group_name_H-M_alt 'P 1'
_space_group_IT_number 1
_space_group_name_Hall 'P 1'
_cell_length_a 4.025
_cell_length_b 4.025
_cell_length_c 7.656
_cell_angle_alpha 90.02
_cell_angle_beta 90.02
_cell_angle_gamma 59.99
loop_
_atom_site_label
_atom_site_fract_x
_atom_site_fract_y
_atom_site_fract_z
Zn1 0.239 0.239 0.538
In1 0.239 0.239 0.186
Se1 0.906 0.906 0.622
S1 0.573 0.573 0.039
```

SG ... P3m1, No. 156
Formation energy from raw total energies ... -0.381 eV per atom
Total magnetic moment ... 0.0 μB/f.u.



9.
Compound: InSiS3
Source: Alexandria
Functional: GGA-PBE
Structure: optimized geometry

CIF file:
```
data_InSiS3
_chemical_formula_sum 'In2 Si2 S6'
_space_group_name_H-M_alt 'P 1'
_space_group_IT_number 1
_space_group_name_Hall 'P 1'
_cell_length_a 3.549
_cell_length_b 6.181
_cell_length_c 11.860
_cell_angle_alpha 84.18
_cell_angle_beta 90.00
_cell_angle_gamma 106.69
loop_
_atom_site_label
_atom_site_fract_x
_atom_site_fract_y
_atom_site_fract_z
In1 0.570 0.139 0.894
In2 0.430 0.861 0.106
Si1 0.867 0.735 0.720
Si2 0.133 0.265 0.280
S1 0.341 0.682 0.615
S2 0.659 0.318 0.385
S3 0.785 0.570 0.885
S4 0.215 0.430 0.115
S5 0.048 0.096 0.742
S6 0.952 0.904 0.258
```

SG ... C2/m, No. 12
Formation energy from raw total energies ... -0.523 eV per atom
Total magnetic moment ... 0.0 μB/f.u.



10.
Compound: InSi2S
Source: Alexandria
Functional: GGA-PBE
Structure: optimized geometry

CIF file:
```
data_InSi2S
_chemical_formula_sum 'In1 Si2 S1'
_space_group_name_H-M_alt 'P 1'
_space_group_IT_number 1
_space_group_name_Hall 'P 1'
_cell_length_a 4.716
_cell_length_b 4.716
_cell_length_c 4.716
_cell_angle_alpha 60.00
_cell_angle_beta 60.00
_cell_angle_gamma 60.00
loop_
_atom_site_label
_atom_site_fract_x
_atom_site_fract_y
_atom_site_fract_z
S1 0.000 0.000 0.000
Si1 0.250 0.250 0.250
Si2 0.750 0.750 0.750
In1 0.500 0.500 0.500
```

SG ... Fm-3m, No. 225
Formation energy from raw total energies ... 0.611 eV per atom
Total magnetic moment ... 0.0 μB/f.u.



11.
Compound: In2SiS
Source: Alexandria
Functional: GGA-PBE
Structure: optimized geometry

CIF file:
```
data_In2SiS
_chemical_formula_sum 'In4 Si2 S2'
_space_group_name_H-M_alt 'P 1'
_space_group_IT_number 1
_space_group_name_Hall 'P 1'
_cell_length_a 6.019
_cell_length_b 6.019
_cell_length_c 7.491
_cell_angle_alpha 66.31
_cell_angle_beta 66.31
_cell_angle_gamma 90.00
loop_
_atom_site_label
_atom_site_fract_x
_atom_site_fract_y
_atom_site_fract_z
S1 0.000 0.000 0.000
S2 0.750 0.250 0.500
Si1 0.500 0.500 0.000
Si2 0.250 0.750 0.500
In1 0.612 0.125 0.250
In2 0.138 0.625 0.250
In3 0.375 0.388 0.750
In4 0.875 0.862 0.750
```

SG ... I-42d, No. 122
Formation energy from raw total energies ... -0.146 eV per atom
Total magnetic moment ... 0.0 μB/f.u.



12.
Compound: InSiS3
Source: Alexandria
Functional: GGA-PBE
Structure: optimized geometry

CIF file:
```
data_InSiS3
_chemical_formula_sum 'In1 Si1 S3'
_space_group_name_H-M_alt 'P 1'
_space_group_IT_number 1
_space_group_name_Hall 'P 1'
_cell_length_a 4.591
_cell_length_b 4.591
_cell_length_c 4.591
_cell_angle_alpha 90.00
_cell_angle_beta 90.00
_cell_angle_gamma 90.00
loop_
_atom_site_label
_atom_site_fract_x
_atom_site_fract_y
_atom_site_fract_z
S1 0.000 0.500 0.000
S2 0.000 0.000 0.500
S3 0.500 0.000 0.000
Si1 0.000 0.000 0.000
In1 0.500 0.500 0.500
```

SG ... Pm-3m, No. 221
Formation energy from raw total energies ... -0.037 eV per atom
Total magnetic moment ... 0.0 μB/f.u.